Entry 1:
A PBEsol-optimized structure of KSbPCO7. Source: Alexandria via LeMat-Bulk, functional SCAN.

Calculated values
Fermi-level density of states = 0.2094 states/eV per atom
ΔE_f (raw) = -1.834 eV/atom
volume = 319.6 Å³/cell
SG = P2_1, No. 4
total moment = 0.0000 μB per atom

a b c (Å): 5.0652 6.5967 9.8012
angles (deg): 90.00 102.58 90.00
Last column: nearest neighbours and their distance in Å.
Fractional coordinates of all 22 atoms:
K1 0.0625 0.0000 0.1497  6 O 2.77-3.10
K2 0.9375 0.5000 0.8503  6 O 2.77-3.10
Sb1 0.2760 0.9162 0.6516  6 O 2.09-2.30
Sb2 0.7240 0.4162 0.3484  6 O 2.09-2.30
P1 0.3168 0.4137 0.5740  4 O 1.54-1.55
P2 0.6832 0.9137 0.4260  4 O 1.54-1.55
C1 0.4469 0.9102 0.9177  3 O 1.24-1.34
C2 0.5531 0.4102 0.0823  3 O 1.24-1.34
O1 0.1444 0.4109 0.4219  1 P 1.55
O2 0.1861 0.9089 0.8499  1 C 1.34
O3 0.2461 0.5984 0.6574  1 P 1.55
O4 0.2477 0.2325 0.6609  1 P 1.55
O5 0.3831 0.9155 0.4349  1 P 1.54
O6 0.3847 0.4024 0.1683  1 C 1.32
O7 0.4812 0.4190 0.9533  1 C 1.24
O8 0.5188 0.9190 0.0467  1 C 1.24
O9 0.6153 0.9024 0.8317  1 C 1.32
O10 0.6169 0.4155 0.5651  1 P 1.54
O11 0.7523 0.7325 0.3391  1 P 1.55
O12 0.7539 0.0984 0.3426  1 P 1.55
O13 0.8139 0.4089 0.1501  1 C 1.34
O14 0.8556 0.9109 0.5781  1 P 1.55

Entry 2:
A PBEsol-optimized structure of AsRu2. Source: Alexandria via LeMat-Bulk, functional SCAN.

Calculated values
Fermi-level density of states = 0.5816 states/eV per atom
volume = 86.2 Å³/cell
SG = I4_1/amd, No. 141
total moment = 0.0000 μB per atom
formation energy from the elements = 0.155 eV/atom

a b c (Å): 10.1418 10.1418 10.1418
angles (deg): 163.29 163.29 23.72
Last column: nearest neighbours and their distance in Å.
Fractional coordinates of all 6 atoms:
As1 0.3750 0.6250 0.7500  8 Ru 2.52
As2 0.6250 0.3750 0.2500  8 Ru 2.52
Ru1 0.0538 0.8038 0.2500  4 As 2.52, 2 Ru 2.59
Ru2 0.1962 0.9462 0.2500  4 As 2.52, 2 Ru 2.59
Ru3 0.8038 0.0538 0.7500  4 As 2.52, 2 Ru 2.59
Ru4 0.9462 0.1962 0.7500  4 As 2.52, 2 Ru 2.59

Entry 3:
A PBEsol-optimized structure of LaW2I. Source: Alexandria via LeMat-Bulk, functional SCAN.

Calculated values
Fermi-level density of states = 1.1928 states/eV per atom
ΔE_f (raw) = 1.647 eV/atom
volume = 80.3 Å³/cell
SG = Fm-3m, No. 225
total moment = 0.0001 μB per atom

a b c (Å): 4.8420 4.8420 4.8420
angles (deg): 60.00 60.00 60.00
Last column: nearest neighbours and their distance in Å.
Fractional coordinates of all 4 atoms:
La1 0.0000 0.0000 0.0000  8 W 2.97
W1 0.2500 0.2500 0.2500  4 La 2.97, 4 I 2.97
W2 0.7500 0.7500 0.7500  4 La 2.97, 4 I 2.97
I1 0.5000 0.5000 0.5000  8 W 2.97

Entry 4:
A PBEsol-optimized structure of Ag5Au4. Source: Alexandria via LeMat-Bulk, functional SCAN.

Calculated values
Fermi-level density of states = 0.2365 states/eV per atom
volume = 149.9 Å³/cell
SG = I4/mmm, No. 139
total moment = 0.0000 μB per atom
formation energy from the elements = -0.072 eV/atom

a b c (Å): 6.4262 6.4262 6.4262
angles (deg): 95.63 95.63 143.50
Last column: nearest neighbours and their distance in Å.
Fractional coordinates of all 9 atoms:
Ag1 0.0000 0.0000 0.0000  8 Ag 2.86, 4 Au 2.86
Ag2 0.3336 0.3336 0.6672  6 Au 2.85-2.88, 6 Ag 2.86-2.87
Ag3 0.3336 0.6664 0.0000  6 Au 2.85-2.88, 6 Ag 2.86-2.87
Ag4 0.6664 0.3336 0.0000  6 Au 2.85-2.88, 6 Ag 2.86-2.87
Ag5 0.6664 0.6664 0.3328  6 Au 2.85-2.88, 6 Ag 2.86-2.87
Au1 0.0000 0.3316 0.3316  7 Ag 2.85-2.88, 5 Au 2.88-2.91
Au2 0.0000 0.6684 0.6684  7 Ag 2.85-2.88, 5 Au 2.88-2.91
Au3 0.3316 0.0000 0.3316  7 Ag 2.85-2.88, 5 Au 2.88-2.91
Au4 0.6684 0.0000 0.6684  7 Ag 2.85-2.88, 5 Au 2.88-2.91

Entry 5:
A PBEsol-optimized structure of TlRe2W. Source: Alexandria via LeMat-Bulk, functional SCAN.

Calculated values
Fermi-level density of states = 0.6666 states/eV per atom
volume = 67.2 Å³/cell
SG = Cmmm, No. 65
total moment = 0.0000 μB per atom
formation energy from the elements = 0.670 eV/atom

a b c (Å): 2.8069 2.8069 9.2637
angles (deg): 90.00 90.00 113.02
Last column: nearest neighbours and their distance in Å.
Fractional coordinates of all 4 atoms:
Tl1 0.0000 0.0000 0.0000  6 Tl 2.81-3.10, 4 Re 2.97
Re1 0.5000 0.5000 0.2733  2 W 2.61, 4 Re 2.81
Re2 0.5000 0.5000 0.7267  2 W 2.61, 4 Re 2.81
W1 0.0000 0.0000 0.5000  4 Re 2.61, 4 W 2.81

Entry 6:
A PBEsol-optimized structure of HgBiMoP2. Source: Alexandria via LeMat-Bulk, functional SCAN.

Calculated values
Fermi-level density of states = 0.6433 states/eV per atom
volume = 123.2 Å³/cell
SG = P4/mmm, No. 123
total moment = 0.7553 μB per atom
formation energy from the elements = 1.536 eV/atom

a b c (Å): 4.8489 4.8489 5.2402
angles (deg): 90.00 90.00 90.00
Last column: nearest neighbours and their distance in Å.
Fractional coordinates of all 5 atoms:
Hg1 0.0000 0.0000 0.0000  4 P 2.42, 2 Mo 2.62
Bi1 0.5000 0.5000 0.5000  4 Mo 3.43, 8 P 3.57
Mo1 0.0000 0.0000 0.5000  2 Hg 2.62
P1 0.0000 0.5000 0.0000  2 Hg 2.42
P2 0.5000 0.0000 0.0000  2 Hg 2.42

Entry 7:
A PBEsol-optimized structure of HgPtAu4. Source: Alexandria via LeMat-Bulk, functional SCAN.

Calculated values
Fermi-level density of states = 0.6449 states/eV per atom
volume = 109.2 Å³/cell
SG = F-43m, No. 216
total moment = 0.0000 μB per atom
formation energy from the elements = 0.306 eV/atom

a b c (Å): 5.3652 5.3652 5.3652
angles (deg): 60.00 60.00 60.00
Last column: nearest neighbours and their distance in Å.
Fractional coordinates of all 6 atoms:
Hg1 0.0000 0.0000 0.0000  12 Au 3.15, 4 Pt 3.29
Pt1 0.2500 0.2500 0.2500  12 Au 3.15, 4 Hg 3.29
Au1 0.1254 0.6249 0.6249  6 Au 2.68-2.69
Au2 0.6249 0.1254 0.6249  6 Au 2.68-2.69
Au3 0.6249 0.6249 0.1254  6 Au 2.68-2.69
Au4 0.6249 0.6249 0.6249  6 Au 2.68-2.69

Entry 8:
A PBEsol-optimized structure of NbNiO2F. Source: Alexandria via LeMat-Bulk, functional SCAN.

Calculated values
Fermi-level density of states = 0.2165 states/eV per atom
ΔE_f (raw) = -1.142 eV/atom
volume = 51.8 Å³/cell
SG = P4/mmm, No. 123
total moment = 0.1143 μB per atom

a b c (Å): 3.7829 3.7829 3.6233
angles (deg): 90.00 90.00 90.00
Last column: nearest neighbours and their distance in Å.
Fractional coordinates of all 5 atoms:
Nb1 0.0000 0.0000 0.0000  8 O 2.62, 4 F 2.67
Ni1 0.5000 0.5000 0.5000  2 F 1.81, 4 O 1.89
O1 0.0000 0.5000 0.5000  2 Ni 1.89
O2 0.5000 0.0000 0.5000  2 Ni 1.89
F1 0.5000 0.5000 0.0000  2 Ni 1.81